1.
NaMg3O | PBE-GGA | relaxed

Lattice parameters (Å, degrees): 5.2872 5.2872 5.2872 90.00 90.00 90.00
Fractional coordinates of all 5 atoms:
Na: 0.0000 0.0000 0.0000
Mg: 0.0000 0.5000 0.0000
Mg: 0.0000 0.0000 0.5000
Mg: 0.5000 0.0000 0.0000
O: 0.5000 0.5000 0.5000

Computed properties:
- volume (A^3/atom) = 29.56
- excess energy over the best structure of this formula in the dataset (meV/atom) = 1632
- DOS at the Fermi energy (states/eV per atom) = 0.966
- total energy (eV per atom) = -1.220
- space group = No. 221

***

2.
Na2MgO2 | PBE-GGA | relaxed

Lattice parameters (Å, degrees): 5.4624 5.9743 5.9743 56.52 62.80 62.80
Fractional coordinates of all 10 atoms:
Na: 0.3463 0.2578 0.0495
Na: 0.6537 0.7422 0.9505
Na: 0.1537 0.9505 0.7422
Na: 0.8463 0.0495 0.2578
Mg: 0.2500 0.5000 0.5000
Mg: 0.7500 0.5000 0.5000
O: 0.0991 0.6061 0.1958
O: 0.9009 0.3939 0.8042
O: 0.4009 0.8042 0.3939
O: 0.5991 0.1958 0.6061

Computed properties:
- volume (A^3/atom) = 13.90
- DOS at the Fermi energy (states/eV per atom) = 0.000
- total energy (eV per atom) = -4.585
- space group = No. 72

***

3.
Na14Mg2O9 | PBE-GGA | relaxed

Lattice parameters (Å, degrees): 6.6680 6.6680 9.3952 90.00 90.00 120.00
Each line ends with the local moment (μB).
Fractional coordinates of all 25 atoms:
Na: 0.0421 0.6784 0.9075  0.00
Na: 0.3075 0.9296 0.5912  0.00
Na: 0.0704 0.3779 0.5912  0.00
Na: 0.0000 0.0000 0.2535  0.00
Na: 0.0000 0.0000 0.7465  0.00
Na: 0.3216 0.3637 0.9075  0.00
Na: 0.6363 0.9579 0.9075  0.00
Na: 0.3779 0.3075 0.4088  0.00
Na: 0.6221 0.6925 0.5912  0.00
Na: 0.3637 0.0421 0.0925  0.00
Na: 0.6784 0.6363 0.0925  0.00
Na: 0.9296 0.6221 0.4088  0.00
Na: 0.6925 0.0704 0.4088  0.00
Na: 0.9579 0.3216 0.0925  0.00
Mg: 0.3333 0.6667 0.2636  0.00
Mg: 0.6667 0.3333 0.7364  0.00
O: 0.3048 0.9393 0.3353  0.03
O: 0.0607 0.3655 0.3353  0.03
O: 0.3333 0.6667 0.0460  0.06
O: 0.0000 0.0000 0.0000  0.12
O: 0.3655 0.3048 0.6647  0.03
O: 0.6345 0.6952 0.3353  0.03
O: 0.6667 0.3333 0.9540  0.06
O: 0.9393 0.6345 0.6647  0.03
O: 0.6952 0.0607 0.6647  0.03

Computed properties:
- volume (A^3/atom) = 14.47
- DOS at the Fermi energy (states/eV per atom) = 0.000
- total energy (eV per atom) = -4.103
- space group = No. 147

***

4.
NaMgO3 | PBE-GGA | relaxed

Lattice parameters (Å, degrees): 3.9260 3.9260 3.9260 90.00 90.00 90.00
Each line ends with the local moment (μB).
Fractional coordinates of all 5 atoms:
Na: 0.5000 0.5000 0.5000  -0.01
Mg: 0.0000 0.0000 0.0000  -0.01
O: 0.0000 0.5000 0.0000  0.93
O: 0.0000 0.0000 0.5000  0.82
O: 0.5000 0.0000 0.0000  0.77

Computed properties:
- volume (A^3/atom) = 12.10
- DOS at the Fermi energy (states/eV per atom) = 0.277
- total energy (eV per atom) = -4.520
- space group = No. 221

***

5.
NaMg3O | PBE-GGA | relaxed

Lattice parameters (Å, degrees): 4.5216 4.5216 4.5216 90.00 90.00 90.00
Fractional coordinates of all 5 atoms:
Na: 0.5000 0.5000 0.5000
Mg: 0.0000 0.5000 0.0000
Mg: 0.0000 0.0000 0.5000
Mg: 0.5000 0.0000 0.0000
O: 0.0000 0.0000 0.0000

Computed properties:
- volume (A^3/atom) = 18.49
- excess energy over the best structure of this formula in the dataset (meV/atom) = 0
- DOS at the Fermi energy (states/eV per atom) = 0.298
- total energy (eV per atom) = -2.852
- space group = No. 221

***

6.
NaMgO3 | PBE-GGA | relaxed

Lattice parameters (Å, degrees): 3.9492 3.9492 3.9492 90.00 90.00 90.00
Each line ends with the local moment (μB).
Fractional coordinates of all 5 atoms:
Na: 0.0000 0.0000 0.0000  0.03
Mg: 0.5000 0.5000 0.5000  -0.02
O: 0.0000 0.5000 0.0000  0.95
O: 0.0000 0.0000 0.5000  0.87
O: 0.5000 0.0000 0.0000  0.79

Computed properties:
- volume (A^3/atom) = 12.32
- DOS at the Fermi energy (states/eV per atom) = 0.408
- total energy (eV per atom) = -3.650
- space group = No. 221

***

The lowest total energy belongs to which entry? Na2MgO2